(1)
A relaxed YMoW2 crystal. Source: Alexandria via LeMat-Bulk, functional PBE.

Lattice parameters (Å, degrees): 2.746 4.875 5.497 90.00 90.00 90.00
Positions (direct):
Y (0.500, 0.500, 0.250)
Mo (0.500, 0.500, 0.750)
W (0.000, 0.000, 0.509)
W (0.000, 0.000, 0.991)

Summary:
The value obtained for the total energy is -10.1440 eV per atom. As for the formation energy: 0.66 eV per atom. The theoretical density comes out at 12.5 g cm⁻³. Its offset from the most stable computed form is 329.4 meV/atom. The value obtained for the spin magnetization is 0.000 μB per atom. The calculated volume comes out at 18.395 A^3/atom.

(2)
A relaxed Y2MoW crystal. Source: Alexandria via LeMat-Bulk, functional PBE.

Lattice parameters (Å, degrees): 4.920 4.151 4.151 90.00 90.00 90.00
Positions (direct):
Mo (0.500, 0.500, 0.000)
Y (0.000, 0.000, 0.000)
Y (0.000, 0.500, 0.500)
W (0.500, 0.000, 0.500)

Summary:
The value obtained for the total energy is -8.4904 eV per atom. As for the formation energy: 0.69 eV per atom. The theoretical density comes out at 9.0 g cm⁻³. Its offset from the most stable computed form is 498.5 meV/atom. The value obtained for the spin magnetization is 0.000 μB per atom. The calculated volume comes out at 21.200 A^3/atom.

(3)
A relaxed Y2MoW crystal. Source: Alexandria via LeMat-Bulk, functional PBE.

Lattice parameters (Å, degrees): 5.757 5.757 2.975 82.17 82.17 118.00
Positions (direct):
W (0.000, 0.500, 0.500)
Y (0.500, 0.500, 0.000)
Y (0.000, 0.000, 0.000)
Mo (0.500, 0.000, 0.500)

Summary:
The value obtained for the total energy is -8.5099 eV per atom. As for the formation energy: 0.67 eV per atom. The theoretical density comes out at 9.0 g cm⁻³. Its offset from the most stable computed form is 479.0 meV/atom. The value obtained for the spin magnetization is 0.000 μB per atom. The calculated volume comes out at 20.991 A^3/atom.

(4)
A relaxed YMoW2 crystal. Source: Alexandria via LeMat-Bulk, functional PBE.

Lattice parameters (Å, degrees): 5.440 5.558 2.816 80.78 79.03 116.18
Positions (direct):
W (0.500, 0.000, 0.500)
W (0.000, 0.000, 0.000)
Mo (0.500, 0.500, 0.000)
Y (0.000, 0.500, 0.500)

Summary:
The value obtained for the total energy is -10.3068 eV per atom. As for the formation energy: 0.49 eV per atom. The theoretical density comes out at 12.7 g cm⁻³. Its offset from the most stable computed form is 166.7 meV/atom. The value obtained for the spin magnetization is 0.000 μB per atom. The calculated volume comes out at 18.021 A^3/atom.

(5)
A relaxed YMoW2 crystal. Source: Alexandria via LeMat-Bulk, functional PBE.

Lattice parameters (Å, degrees): 2.847 2.847 9.542 90.00 90.00 110.32
Positions (direct):
Y (0.500, 0.500, 0.250)
Mo (0.500, 0.500, 0.750)
W (0.000, 0.000, 0.974)
W (0.000, 0.000, 0.526)

Summary:
The value obtained for the total energy is -10.4172 eV per atom. As for the formation energy: 0.38 eV per atom. The theoretical density comes out at 12.6 g cm⁻³. Its offset from the most stable computed form is 56.2 meV/atom. The value obtained for the spin magnetization is 0.000 μB per atom. The calculated volume comes out at 18.137 A^3/atom.

(6)
A relaxed YMoW2 crystal. Source: Alexandria via LeMat-Bulk, functional PBE.

Lattice parameters (Å, degrees): 4.486 2.858 5.827 80.31 90.00 90.00
Positions (direct):
Mo (0.500, 0.765, 0.778)
W (0.500, 0.232, 0.219)
W (0.000, 0.995, 0.001)
Y (0.000, 0.509, 0.502)

Summary:
The value obtained for the total energy is -10.3652 eV per atom. As for the formation energy: 0.44 eV per atom. The theoretical density comes out at 12.5 g cm⁻³. Its offset from the most stable computed form is 108.3 meV/atom. The value obtained for the spin magnetization is 0.000 μB per atom. The calculated volume comes out at 18.413 A^3/atom.

(7)
A relaxed Y2Mo2W crystal. Source: Alexandria via LeMat-Bulk, functional PBE.

Lattice parameters (Å, degrees): 3.956 3.956 7.492 74.69 74.69 90.00
Positions (direct):
Mo (0.422, 0.422, 0.156)
Mo (0.578, 0.578, 0.844)
Y (0.250, 0.750, 0.500)
Y (0.750, 0.250, 0.500)
W (0.000, 0.000, 0.000)

Summary:
The value obtained for the total energy is -8.2307 eV per atom. As for the formation energy: 1.28 eV per atom. The theoretical density comes out at 8.4 g cm⁻³. Its offset from the most stable computed form is 952.4 meV/atom. The value obtained for the spin magnetization is 0.000 μB per atom. The calculated volume comes out at 21.757 A^3/atom.

(8)
A relaxed Y2MoW crystal. Source: Alexandria via LeMat-Bulk, functional PBE.

Lattice parameters (Å, degrees): 4.963 4.963 4.963 60.00 60.00 60.00
Positions (direct):
Mo (0.000, 0.000, 0.000)
Y (0.750, 0.750, 0.750)
Y (0.250, 0.250, 0.250)
W (0.500, 0.500, 0.500)

Summary:
The value obtained for the total energy is -8.3815 eV per atom. As for the formation energy: 0.80 eV per atom. The theoretical density comes out at 8.8 g cm⁻³. Its offset from the most stable computed form is 607.5 meV/atom. The value obtained for the spin magnetization is 0.001 μB per atom. The calculated volume comes out at 21.613 A^3/atom.

Repeat the first record exactly.
A relaxed YMoW2 crystal. Source: Alexandria via LeMat-Bulk, functional PBE.

Lattice parameters (Å, degrees): 2.746 4.875 5.497 90.00 90.00 90.00
Positions (direct):
Y (0.500, 0.500, 0.250)
Mo (0.500, 0.500, 0.750)
W (0.000, 0.000, 0.509)
W (0.000, 0.000, 0.991)

Summary:
The value obtained for the total energy is -10.1440 eV per atom. As for the formation energy: 0.66 eV per atom. The theoretical density comes out at 12.5 g cm⁻³. Its offset from the most stable computed form is 329.4 meV/atom. The value obtained for the spin magnetization is 0.000 μB per atom. The calculated volume comes out at 18.395 A^3/atom.